The following is a GGA-PBE calculation of a relaxed structure of NpBiO4, from Alexandria via LeMat-Bulk.

## Properties
Its density of states at the Fermi level is 3.9 states/eV/cell. The value obtained for the formation energy (no corrections) is -13.23 eV/f.u. Its space group is No. 65.

```
NpBiO4
1.0
-0.3346 1.7350 3.0872
4.1368 -2.5295 1.8699
3.0388 3.8074 -1.8103
Np O Bi
1 4 1
direct
0.0000 0.5000 0.5000
0.5000 0.3211 0.6789
0.0000 0.7851 0.7851
0.0000 0.2149 0.2149
0.5000 0.6789 0.3211
0.5000 0.0000 0.0000
```

***

The following is a GGA-PBE calculation of a relaxed structure of CsNiSe, from Alexandria via LeMat-Bulk.

## Properties
Its density of states at the Fermi level is 5.3 states/eV/cell. The value obtained for the formation energy (no corrections) is -1.32 eV/f.u. Its space group is No. 36.

```
CsNiSe
1.0
-3.4452 -0.9347 -1.9341
0.0775 0.1358 4.0570
-2.9650 11.6156 -0.3321
Cs Ni Se
2 2 2
direct
0.8334 0.1666 0.8416
0.1666 0.8334 0.3416
0.1659 0.8341 0.0683
0.8341 0.1659 0.5683
0.5007 0.4993 0.5781
0.4993 0.5007 0.0781
```

***

The following is a GGA-PBE calculation of a relaxed structure of ZrPt, from Alexandria via LeMat-Bulk.

## Properties
Its density of states at the Fermi level is 8.9 states/eV/cell. The formation energy is -0.994 eV/atom. Its space group is No. 19.

```
ZrPt
1.0
-0.0718 -3.3554 4.2511
4.4000 -2.4599 -1.8673
6.1879 6.8717 5.5284
Zr Pt
8 8
direct
0.1855 0.4023 0.2380
0.3145 0.5977 0.7380
0.1526 0.0826 0.5504
0.3474 0.9174 0.0504
0.6526 0.4174 0.4496
0.6855 0.0977 0.7620
0.8474 0.5826 0.9496
0.8145 0.9023 0.2620
0.1881 0.0907 0.8042
0.3532 0.4299 0.9863
0.6468 0.9299 0.5137
0.6881 0.4093 0.1958
0.8119 0.5907 0.6958
0.3119 0.9093 0.3042
0.8532 0.0701 0.0137
0.1468 0.5701 0.4863
```

***

The following is a GGA-PBE calculation of a relaxed structure of Y3InHg5, from Alexandria via LeMat-Bulk.

## Properties
Its density of states at the Fermi level is 8.6 states/eV/cell. The formation energy is -0.437 eV/atom. Its space group is No. 193.

```
Y3InHg5
1.0
-6.0588 -0.2181 1.9748
1.9528 -7.0407 5.2139
0.7576 8.3348 3.2450
Hg Y In
10 6 2
direct
0.7500 0.3288 0.0000
0.0000 0.6667 0.3333
0.2500 0.3288 0.3288
0.2500 0.0000 0.6712
0.0000 0.3333 0.6667
0.2500 0.6712 0.0000
0.5000 0.3333 0.6667
0.5000 0.6667 0.3333
0.7500 0.0000 0.3288
0.7500 0.6712 0.6712
0.7500 0.3391 0.3391
0.2500 0.6609 0.6609
0.2500 0.3391 0.0000
0.7500 0.6609 0.0000
0.7500 0.0000 0.6609
0.2500 0.0000 0.3391
0.0000 0.0000 0.0000
0.5000 0.0000 0.0000
```

***

The following is a GGA-PBE calculation of a relaxed structure of MnCr2HPt, from Alexandria via LeMat-Bulk.

## Properties
Its density of states at the Fermi level is 4.9 states/eV/cell. Its space group is No. 123. The total energy comes out at -0.2806 hartree per atom.

```
MnCr2HPt
1.0
3.7272 0.0000 0.0000
0.0000 3.7272 0.0000
0.0000 0.0000 3.6974
Cr Mn Pt H
2 1 1 1
direct
0.0000 0.5000 0.0000
0.5000 0.0000 0.0000
0.0000 0.0000 0.5000
0.5000 0.5000 0.5000
0.0000 0.0000 0.0000
```

***

The following is a GGA-PBE calculation of a relaxed structure of Sr4CrC2, from Alexandria via LeMat-Bulk.

## Properties
Its density of states at the Fermi level is 5.7 states/eV/cell. The formation energy is 0.435 eV/atom. Its space group is No. 139.

```
Sr4CrC2
1.0
-3.2133 -3.2308 -4.1922
2.2864 -5.2705 2.3093
-5.5973 -4.6266 3.2834
Sr C Cr
4 2 1
direct
0.2566 0.2566 0.4869
0.0000 0.5000 0.0000
0.5000 0.0000 0.0000
0.7434 0.7434 0.5131
0.4523 0.4523 0.0954
0.5477 0.5477 0.9046
0.0000 0.0000 0.0000
```

***

The following is a GGA-PBE calculation of a relaxed structure of BaLaBe2, from Alexandria via LeMat-Bulk.

## Properties
Its density of states at the Fermi level is 3.5 states/eV/cell. The formation energy is 0.400 eV/atom. Its space group is No. 44. For the energy above the lowest structure with this stoichiometry, the calculation gives 0.59 eV per formula unit.

```
BaLaBe2
1.0
5.7124 -0.1410 0.1728
4.5302 3.4826 0.1728
2.4962 0.8144 4.8068
Be La Ba
2 1 1
direct
0.6770 0.6770 0.8231
0.0789 0.0789 0.9210
0.4620 0.4620 0.5380
0.2822 0.2822 0.2179
```

***

The following is a GGA-PBE calculation of a relaxed structure of NbRh2W, from Alexandria via LeMat-Bulk.

## Properties
Its density of states at the Fermi level is 8.1 states/eV/cell. The formation energy is 0.106 eV/atom. Its space group is No. 225. For the energy above the lowest structure with this stoichiometry, the calculation gives 1.55 eV per formula unit.

```
NbRh2W
1.0
0.0000 3.1685 3.1685
3.1685 0.0000 3.1685
3.1685 3.1685 0.0000
Rh W Nb
2 1 1
direct
0.7500 0.7500 0.7500
0.2500 0.2500 0.2500
0.5000 0.5000 0.5000
0.0000 0.0000 0.0000
```

***

The following is a GGA-PBE calculation of a relaxed structure of Th2Al5Cu4, from Alexandria via LeMat-Bulk.

## Properties
Its density of states at the Fermi level is 5.5 states/eV/cell. The formation energy is -0.328 eV/atom. Its space group is No. 69.

```
Th2Al5Cu4
1.0
5.7113 0.0000 0.0000
2.8556 4.8433 0.0000
2.8556 0.0000 7.2207
Th Al Cu
2 5 4
direct
0.1378 0.0000 0.7243
0.8622 0.0000 0.2757
0.5000 0.5000 0.0000
0.5000 0.0000 0.0000
0.7500 0.5000 0.5000
0.0000 0.5000 0.0000
0.2500 0.5000 0.5000
0.5055 0.2679 0.7211
0.4945 0.7321 0.2789
0.7734 0.7321 0.7211
0.2266 0.2679 0.2789
```

***

The following is a GGA-PBE calculation of a relaxed structure of BaCoP2, from Alexandria via LeMat-Bulk.

## Properties
Its density of states at the Fermi level is 1.8 states/eV/cell. The formation energy is -0.103 eV/atom. Its space group is No. 123. For the energy above the lowest structure with this stoichiometry, the calculation gives 2.02 eV per formula unit.

```
BaCoP2
1.0
3.2998 0.0000 0.0000
0.0000 3.2982 0.0000
0.0000 0.0000 6.8436
P Co Ba
2 1 1
direct
0.0000 0.0000 0.9081
0.0000 0.0000 0.5919
0.5000 0.5000 0.7500
0.5000 0.5000 0.2500
```

***

The following is a GGA-PBE calculation of a relaxed structure of NaCdGeSe3, from Alexandria via LeMat-Bulk.

## Properties
Its density of states at the Fermi level is 3.8 states/eV/cell. The value obtained for the formation energy (no corrections) is -2.93 eV/f.u. Its space group is No. 11.

```
NaCdGeSe3
1.0
4.4741 0.0000 0.0000
0.0000 7.9504 -0.3356
0.0000 -2.5795 9.6212
Se Na Ge Cd
6 2 2 2
direct
0.7500 0.2056 0.5529
0.7500 0.9407 0.1525
0.2500 0.5273 0.8237
0.2500 0.0593 0.8475
0.7500 0.4727 0.1763
0.2500 0.7944 0.4471
0.2500 0.2185 0.1812
0.7500 0.7815 0.8188
0.7500 0.8895 0.3776
0.2500 0.1105 0.6224
0.7500 0.3459 0.8930
0.2500 0.6541 0.1070
```

***

The following is a GGA-PBE calculation of a relaxed structure of CsNaTl3Pb, from Alexandria via LeMat-Bulk.

## Properties
Its density of states at the Fermi level is 4.8 states/eV/cell. The formation energy is -0.069 eV/atom. Its space group is No. 63.

```
CsNaTl3Pb
1.0
7.0804 0.0000 0.0000
0.0000 7.1436 0.0000
0.0000 -3.5718 9.2090
Cs Tl Na Pb
2 6 2 2
direct
0.7500 0.3028 0.6057
0.2500 0.6972 0.3943
0.5000 0.2742 0.0000
0.7500 0.8900 0.7799
0.0000 0.2742 0.0000
0.5000 0.7258 0.0000
0.0000 0.7258 0.0000
0.2500 0.1100 0.2201
0.7500 0.1002 0.2004
0.2500 0.8998 0.7996
0.2500 0.3813 0.7626
0.7500 0.6187 0.2374
```

***

The following is a GGA-PBE calculation of a relaxed structure of SiTc2Hg, from Alexandria via LeMat-Bulk.

## Properties
Its density of states at the Fermi level is 3.8 states/eV/cell. The value obtained for the formation energy (no corrections) is 2.27 eV/f.u. Its space group is No. 47. For the energy above the lowest structure with this stoichiometry, the calculation gives 2.09 eV per formula unit.

```
SiTc2Hg
1.0
2.9835 0.0000 0.0000
0.0000 4.7830 0.0000
0.0000 0.0000 4.4719
Tc Hg Si
2 1 1
direct
0.5000 0.5000 0.0000
0.0000 0.0000 0.0000
0.5000 0.0000 0.5000
0.0000 0.5000 0.5000
```

***

The following is a GGA-PBE calculation of a relaxed structure of Fe2SbPtBr, from Alexandria via LeMat-Bulk.

## Properties
Its density of states at the Fermi level is 11.6 states/eV/cell. The value obtained for the formation energy (no corrections) is 5.21 eV/f.u. Its space group is No. 123.

```
Fe2SbPtBr
1.0
-0.2106 -4.0303 -1.9332
2.0017 -2.0784 4.1149
-4.0993 -0.5975 1.6922
Sb Fe Pt Br
1 2 1 1
direct
0.5000 0.5000 0.5000
0.0000 0.0000 0.5000
0.5000 0.0000 0.0000
0.0000 0.5000 0.0000
0.0000 0.0000 0.0000
```

***

The following is a GGA-PBE calculation of a relaxed structure of Sr3Re, from Alexandria via LeMat-Bulk.

## Properties
Its density of states at the Fermi level is 5.0 states/eV/cell. The formation energy is 1.053 eV/atom. Its space group is No. 25. For the energy above the lowest structure with this stoichiometry, the calculation gives 1.23 eV per formula unit.

```
Sr3Re
1.0
3.4328 0.0000 0.0000
0.0000 5.4126 0.0000
0.0000 0.0000 7.0443
Sr Re
3 1
direct
0.5000 0.0000 0.4926
0.0000 0.5000 0.2646
0.5000 0.5000 0.8439
0.0000 0.0000 0.0655
```

***

The following is a GGA-PBE calculation of a relaxed structure of LiAlPHO5, from Alexandria via LeMat-Bulk.

## Properties
Its density of states at the Fermi level is 0.0 states/eV/cell. Its space group is No. 2. For the energy above the lowest structure with this stoichiometry, the calculation gives 0.00 eV per formula unit.

```
LiAlPHO5
1.0
5.0839 -0.0142 -0.0030
-0.7378 5.2073 0.0100
-2.3346 -2.3740 6.2840
O Li H P Al
10 2 2 2 2
direct
0.2983 0.3363 0.1585
0.8611 0.0401 0.2251
0.7327 0.2017 0.8914
0.1389 0.9599 0.7749
0.7017 0.6637 0.8415
0.3558 0.2417 0.5739
0.2673 0.7983 0.1086
0.1228 0.6763 0.3911
0.6442 0.7583 0.4261
0.8772 0.3237 0.6089
0.2526 0.6092 0.6840
0.7474 0.3908 0.3160
0.3417 0.0706 0.8454
0.6583 0.9294 0.1546
0.6739 0.3558 0.7326
0.3261 0.6442 0.2674
0.0000 0.0000 0.0000
0.0000 0.0000 0.5000
```

***

The following is a GGA-PBE calculation of a relaxed structure of Nb2AlHg, from Alexandria via LeMat-Bulk.

## Properties
Its density of states at the Fermi level is 2.9 states/eV/cell. The formation energy is 0.102 eV/atom. Its space group is No. 166. For the energy above the lowest structure with this stoichiometry, the calculation gives 0.00 eV per formula unit.

```
Nb2AlHg
1.0
-1.0207 -2.7959 -0.0008
1.0945 -1.9833 -1.9306
6.8503 -4.0867 5.7875
Nb Hg Al
2 1 1
direct
0.2533 0.2533 0.2401
0.7467 0.7467 0.7599
0.5000 0.5000 0.5000
0.0000 0.0000 0.0000
```

***

The following is a GGA-PBE calculation of a relaxed structure of CuHPd3, from Alexandria via LeMat-Bulk.

## Properties
Its density of states at the Fermi level is 3.7 states/eV/cell. Its space group is No. 6. For the energy above the lowest structure with this stoichiometry, the calculation gives 0.12 eV per formula unit.

```
CuHPd3
1.0
4.8452 0.0004 -0.0116
0.0005 5.6126 0.0004
1.6091 0.0003 4.5586
Pd H Cu
6 2 2
direct
0.6257 0.7657 0.0915
0.6192 0.5094 0.5818
0.1289 0.0135 0.0844
0.1288 0.5177 0.0845
0.6194 0.0216 0.5818
0.1228 0.2656 0.5912
0.7641 0.7653 0.7037
0.9115 0.2652 0.3188
0.6218 0.2660 0.0817
0.1467 0.7659 0.5803
```

***

The following is a GGA-PBE calculation of a relaxed structure of Rb2LaDyO4, from Alexandria via LeMat-Bulk.

## Properties
Its density of states at the Fermi level is 0.0 states/eV/cell. The value obtained for the formation energy (no corrections) is -21.14 eV/f.u. Its space group is No. 10.

```
Rb2LaDyO4
1.0
-2.6563 0.7045 2.3736
-0.3258 -6.1152 1.4505
4.5831 2.9227 4.2613
O Rb Dy La
4 2 1 1
direct
0.0000 0.2604 0.8215
0.5000 0.2149 0.1772
0.0000 0.7396 0.1785
0.5000 0.7851 0.8228
0.0000 0.5000 0.5000
0.5000 0.0000 0.5000
0.0000 0.0000 0.0000
0.5000 0.5000 0.0000
```

***

The following is a GGA-PBE calculation of a relaxed structure of Ca2Cd3Hg, from Alexandria via LeMat-Bulk.

## Properties
Its density of states at the Fermi level is 8.2 states/eV/cell. The formation energy is -0.370 eV/atom. Its space group is No. 69.

```
Ca2Cd3Hg
1.0
-1.7467 5.7951 1.3331
-1.0960 0.3063 6.0923
9.6686 -0.8811 -2.3381
Hg Ca Cd
2 4 6
direct
0.6665 0.6665 0.3330
0.3335 0.3335 0.6670
0.2500 0.7500 0.5000
0.7479 0.2521 0.0000
0.7500 0.2500 0.5000
0.2521 0.7479 0.0000
0.1656 0.1656 0.8335
0.3321 0.3321 0.1665
0.6679 0.6679 0.8335
0.8340 0.8340 0.6679
0.1660 0.1660 0.3321
0.8344 0.8344 0.1665
```